Version w
This record from the Alexandria database describes a relaxed structure of Sr2AsSe. The functional is PBE.

Cell: 4.335 4.335 8.183 Å, 105.38 105.38 60.09°
Fractional coordinates of all 4 atoms:
Sr 0.246 0.246 0.239
Sr 0.754 0.754 0.761
As 0.000 0.000 0.500
Se 0.500 0.500 0.000

Volume = 31.72 Å³ per atom
DOS(E_F) = 0.598 states/eV per atom

=====

Version x
This record from the Alexandria database describes a relaxed structure of Sr2AsSe. The functional is PBE.

Cell: 6.981 6.981 6.981 Å, 108.54 108.54 111.35°
Fractional coordinates of all 8 atoms:
Sr 0.122 0.125 0.497
Sr 0.375 0.878 0.003
Sr 0.628 0.625 0.503
Sr 0.875 0.372 0.997
As 0.250 0.750 0.500
As 0.500 0.500 0.000
Se 0.000 0.000 0.000
Se 0.750 0.250 0.500

Volume = 32.70 Å³ per atom
DOS(E_F) = 0.762 states/eV per atom

=====

Version y
This record from the Alexandria database describes a relaxed structure of Sr2AsSe. The functional is PBE.

Cell: 3.731 3.763 7.974 Å, 90.00 90.00 90.00°
Fractional coordinates of all 4 atoms:
Sr 0.000 0.000 0.239
Sr 0.000 0.000 0.761
As 0.500 0.500 0.500
Se 0.500 0.500 0.000

Volume = 27.99 Å³ per atom
DOS(E_F) = 0.358 states/eV per atom

=====

Version z
This record from the Alexandria database describes a relaxed structure of Sr2AsSe. The functional is PBE.

Cell: 4.469 4.469 6.350 Å, 90.00 90.00 90.00°
Fractional coordinates of all 4 atoms:
Sr 0.000 0.000 0.000
Sr 0.500 0.500 0.500
As 0.000 0.000 0.500
Se 0.500 0.500 0.000

Volume = 31.70 Å³ per atom
DOS(E_F) = 1.182 states/eV per atom

=====

Verdict on stability: version w comes out on top.

=====

Version w
This record from the Alexandria database describes a relaxed structure of Sr2As2Se. The functional is PBE.

Cell: 5.926 5.926 5.926 Å, 119.07 119.07 91.61°
Fractional coordinates of all 5 atoms:
Sr 0.250 0.750 0.500
Sr 0.750 0.250 0.500
As 0.153 0.153 0.000
As 0.847 0.847 0.000
Se 0.500 0.500 0.000

Volume = 29.84 Å³ per atom
DOS(E_F) = 1.121 states/eV per atom

=====

Version x
This record from the Alexandria database describes a relaxed structure of Sr2As2Se. The functional is PBE.

Cell: 8.234 8.234 4.540 Å, 90.00 90.00 90.00°
Fractional coordinates of all 10 atoms:
Sr 0.186 0.314 0.000
Sr 0.314 0.814 0.000
Sr 0.686 0.186 0.000
Sr 0.814 0.686 0.000
As 0.101 0.601 0.500
As 0.399 0.101 0.500
As 0.601 0.899 0.500
As 0.899 0.399 0.500
Se 0.000 0.000 0.000
Se 0.500 0.500 0.000

Volume = 30.79 Å³ per atom
DOS(E_F) = 0.779 states/eV per atom

=====

Verdict on stability: version x comes out on top.